The following is a DFT calculation (GGA-PBE) of crystalline K2MgTcRu at its relaxed geometry.

Unit cell a=6.1945 b=6.1945 c=4.8772 alpha=90.00 beta=90.00 gamma=90.00
Space group P4/mmm (No. 123)
Symmetry-distinct sites (fractional):
1 K 0.0000 0.5000 0.0000 x2
2 Mg 0.0000 0.0000 0.0000 x1
3 Tc 0.5000 0.5000 0.5000 x1
4 Ru 0.0000 0.0000 0.5000 x1

Output
* DOS(E_F): 1.041 states/eV/atom
* magnetic moment: 1.14 μB/atom
* formation enthalpy at 0 K: 9.23 eV/f.u.